DFT (GGA-PBE) results for an optimized crystal structure of YTlCl6.

For the total energy, the calculation gives -3.8976 eV per atom. Its crystal system is trigonal.

The space group is R-3 (No. 148, hexagonal axes) and the conventional cell measures 6.6168, 6.6168 and 18.0657 Å, with angles of 90.00, 90.00 and 120.00 degrees. Symmetry generates all atoms from Y at (0.0000, 0.0000, 0.0000), Tl at (0.0000, 0.0000, 0.5000) and Cl at (0.0026, 0.6632, 0.2501).


DFT (GGA-PBE) results for an optimized crystal structure of MnBe2V2Ru5.

For the total energy, the calculation gives -8.2593 eV per atom. The formation energy from the elements comes out at -0.14 eV per atom. Its crystal system is tetragonal.

The space group is P4/mbm (No. 127) and the conventional cell measures 9.1280, 9.1280 and 3.0231 Å, with angles of 90.00, 90.00 and 90.00 degrees. Symmetry generates all atoms from Mn at (0.0000, 0.0000, 0.0000), Be at (0.1234, 0.3766, 0.0000), V at (0.1746, 0.6746, 0.0000), Ru at (0.0000, 0.5000, 0.5000) and Ru at (0.0805, 0.2023, 0.5000).